Computed, not measured: a geometry-optimized AgPd2S4 structure at the PBE level of DFT.

crystal system = trigonal
energy relative to the elements, uncorrected = -0.167 eV/atom

a = 7.303 Å, b = 7.303 Å, c = 7.303 Å
α = 60.07°, β = 60.07°, γ = 60.07°
Positions (direct):
1 Ag 0.125 0.125 0.125
2 Ag 0.875 0.875 0.875
3 Pd 0.000 0.500 0.500
4 Pd 0.500 0.000 0.500
5 Pd 0.500 0.500 0.000
6 Pd 0.500 0.500 0.500
7 S 0.265 0.265 0.265
8 S 0.266 0.266 0.704
9 S 0.266 0.704 0.266
10 S 0.296 0.734 0.734
11 S 0.704 0.266 0.266
12 S 0.734 0.296 0.734
13 S 0.734 0.734 0.296
14 S 0.735 0.735 0.735



Computed, not measured: a geometry-optimized Ce2DyAg2Sn2 structure at the PBE level of DFT.

ΔH_f (0 K) = -8.07 kcal/mol of atoms
crystal system = trigonal

a = 9.406 Å, b = 9.406 Å, c = 9.406 Å
α = 29.02°, β = 29.02°, γ = 29.02°
Positions (direct):
1 Ce 0.143 0.143 0.143
2 Ce 0.857 0.857 0.857
3 Dy 0.000 0.000 0.000
4 Ag 0.418 0.418 0.418
5 Ag 0.582 0.582 0.582
6 Sn 0.269 0.269 0.269
7 Sn 0.731 0.731 0.731



Computed, not measured: a geometry-optimized Co3GeW structure at the PBE level of DFT.

ΔH_f (0 K) = 26.60 kcal/mol of atoms
crystal system = cubic

a = 4.205 Å, b = 4.205 Å, c = 4.205 Å
α = 90.00°, β = 90.00°, γ = 90.00°
Positions (direct):
1 Co 0.000 0.000 0.500
2 Co 0.000 0.500 0.000
3 Co 0.500 0.000 0.000
4 Ge 0.000 0.000 0.000
5 W 0.500 0.500 0.500



Computed, not measured: a geometry-optimized SmEuZn4 structure at the PBE level of DFT.

ΔH_f (0 K) = -6.37 kcal/mol of atoms
crystal system = cubic

a = 5.586 Å, b = 5.586 Å, c = 5.586 Å
α = 60.00°, β = 60.00°, γ = 60.00°
Positions (direct):
1 Sm 0.000 0.000 0.000
2 Eu 0.250 0.250 0.250
3 Zn 0.122 0.626 0.626
4 Zn 0.626 0.122 0.626
5 Zn 0.626 0.626 0.122
6 Zn 0.626 0.626 0.626



| no. | total magnetization (Bohr magnetons per cell) |
| --- | --- |
| 1 | 0.00 |
| 2 | 2.36 |
| 3 | 4.57 |
| 4 | 6.97 |